1.
Na2CaBi2 | PBE | relaxed

The calculation puts the density at 5.64 g cm⁻³. For the raw total energy, the calculation gives -2.864 eV/atom. The value obtained for the formation enthalpy at 0 K is -0.38 eV/atom. The calculation puts the distance to the lowest polymorph of the same formula at 2.39 kcal/mol of atoms.

The space group is P4/mbm (No. 127) and the conventional cell measures 9.197, 9.197 and 3.509 Å, with angles of 90.00, 90.00 and 90.00 degrees. The asymmetric unit holds Na at (0.113, 0.387, 0.000), Ca at (0.000, 0.000, 0.000) and Bi at (0.186, 0.686, 0.500).


2.
Te2PdCN | PBE | relaxed

The calculation puts the density at 6.84 g cm⁻³. The calculation puts the uncorrected formation energy at 4.57 eV per formula unit. For the raw total energy, the calculation gives -4.891 eV/atom. The calculation puts the distance to the lowest polymorph of the same formula at 0.00 kcal/mol of atoms.

The space group is P4/mmm (No. 123) and the conventional cell measures 5.975, 5.975 and 2.635 Å, with angles of 90.00, 90.00 and 90.00 degrees. The asymmetric unit holds Te at (0.000, 0.500, 0.000), Pd at (0.000, 0.000, 0.500), C at (0.500, 0.500, 0.000) and N at (0.500, 0.500, 0.500).


3.
FeOs2Se | PBE | relaxed

The calculation puts the density at 14.93 g cm⁻³. The calculation puts the uncorrected formation energy at 2.94 eV per formula unit. For the raw total energy, the calculation gives -7.866 eV/atom.

The space group is I-4m2 (No. 119) and the conventional cell measures 3.922, 3.922 and 7.450 Å, with angles of 90.00, 90.00 and 90.00 degrees. The asymmetric unit holds Fe at (0.000, 0.000, 0.000), Os at (0.000, 0.000, 0.500), Os at (0.000, 0.500, 0.750) and Se at (0.000, 0.500, 0.250).


4.
FeTe2W | PBE | relaxed

The calculation puts the density at 10.36 g cm⁻³. The calculation puts the uncorrected formation energy at 4.66 eV per formula unit. For the raw total energy, the calculation gives -5.760 eV/atom. The calculation puts the distance to the lowest polymorph of the same formula at 27.68 kcal/mol of atoms.

The space group is F-43m (No. 216) and the conventional cell measures 6.821, 6.821 and 6.821 Å, with angles of 90.00, 90.00 and 90.00 degrees. The asymmetric unit holds Fe at (0.000, 0.000, 0.000), Te at (0.000, 0.000, 0.500), Te at (0.250, 0.250, 0.750) and W at (0.250, 0.250, 0.250).


5.
Na3Zn5Cl12 | PBE | relaxed

The calculation puts the density at 2.78 g cm⁻³. The calculation puts the uncorrected formation energy at -24.19 eV per formula unit. For the raw total energy, the calculation gives -2.834 eV/atom.

The space group is Ia-3d (No. 230) and the conventional cell measures 15.769, 15.769 and 15.769 Å, with angles of 90.00, 90.00 and 90.00 degrees. The asymmetric unit holds Na at (0.000, 0.250, 0.125), Zn at (0.000, 0.000, 0.000), Zn at (0.000, 0.250, 0.375) and Cl at (0.031, 0.054, 0.651).


6.
PuPaTl2S4 | PBE | relaxed

The calculation puts the density at 7.74 g cm⁻³. The calculation puts the uncorrected formation energy at -9.61 eV per formula unit. For the raw total energy, the calculation gives -6.835 eV/atom.

The space group is P2/m (No. 10) and the conventional cell measures 7.067, 4.064 and 7.913 Å, with angles of 90.00, 107.13 and 90.00 degrees. The asymmetric unit holds Pu at (0.000, 0.000, 0.000), Pa at (0.500, 0.500, 0.000), Tl at (0.000, 0.500, 0.500), Tl at (0.500, 0.000, 0.500), S at (0.241, 0.500, 0.194) and S at (0.275, 0.000, 0.806).


7.
Cr2HgRu | PBE | relaxed

The calculation puts the density at 11.06 g cm⁻³. For the raw total energy, the calculation gives -6.886 eV/atom. The value obtained for the formation enthalpy at 0 K is 0.32 eV/atom.

The space group is P4mm (No. 99) and the conventional cell measures 2.966, 2.966 and 6.927 Å, with angles of 90.00, 90.00 and 90.00 degrees. The asymmetric unit holds Cr at (0.000, 0.000, 0.000), Cr at (0.500, 0.500, 0.205), Hg at (0.000, 0.000, 0.497) and Ru at (0.500, 0.500, 0.799).


8.
NaPm2Te3 | PBE | relaxed

The calculation puts the density at 6.00 g cm⁻³. The calculation puts the uncorrected formation energy at -8.13 eV per formula unit. For the raw total energy, the calculation gives -4.729 eV/atom.

The space group is Immm (No. 71) and the conventional cell measures 4.461, 6.351 and 13.595 Å, with angles of 90.00, 90.00 and 90.00 degrees. The asymmetric unit holds Na at (0.000, 0.000, 0.000), Pm at (0.000, 0.000, 0.335), Te at (0.000, 0.500, 0.000) and Te at (0.000, 0.500, 0.332).


9.
Zn2Pd5Pt | PBE | relaxed

The calculation puts the density at 11.88 g cm⁻³. For the raw total energy, the calculation gives -4.628 eV/atom. The value obtained for the formation enthalpy at 0 K is -0.31 eV/atom.

The space group is Pbam (No. 55) and the conventional cell measures 5.548, 11.091 and 3.897 Å, with angles of 90.00, 90.00 and 90.00 degrees. The asymmetric unit holds Zn at (0.247, 0.125, 0.000), Pd at (0.000, 0.000, 0.500), Pd at (0.005, 0.750, 0.500), Pd at (0.247, 0.375, 0.000) and Pt at (0.000, 0.500, 0.500).


10.
PRhSe | PBE | relaxed

The calculation puts the density at 6.82 g cm⁻³. The calculation puts the uncorrected formation energy at -1.80 eV per formula unit. For the raw total energy, the calculation gives -6.016 eV/atom.

The space group is Pmn2_1 (No. 31) and the conventional cell measures 3.687, 4.800 and 5.859 Å, with angles of 90.00, 90.00 and 90.00 degrees. The asymmetric unit holds P at (0.000, 0.045, 0.000), Rh at (0.000, 0.225, 0.627) and Se at (0.000, 0.440, 0.238).


11.
Tl2NiTe | PBE | relaxed

The calculation puts the density at 8.18 g cm⁻³. The calculation puts the uncorrected formation energy at 0.00 eV per formula unit. For the raw total energy, the calculation gives -3.414 eV/atom. The calculation puts the distance to the lowest polymorph of the same formula at 1.92 kcal/mol of atoms.

The space group is P2/m (No. 10) and the conventional cell measures 4.777, 4.213 and 6.444 Å, with angles of 90.00, 111.44 and 90.00 degrees. The asymmetric unit holds Tl at (0.155, 0.000, 0.307), Ni at (0.000, 0.500, 0.000) and Te at (0.500, 0.500, 0.000).


12.
KSnPS6 | PBE | relaxed

The calculation puts the density at 2.60 g cm⁻³. The calculation puts the uncorrected formation energy at -1.27 eV per formula unit. For the raw total energy, the calculation gives -4.061 eV/atom.

The space group is P312 (No. 149) and the conventional cell measures 6.1275, 6.1275 and 7.5006 Å, with angles of 90.00, 90.00 and 120.00 degrees. The asymmetric unit holds K at (0.0000, 0.0000, 0.0000), Sn at (0.6667, 0.3333, 0.5000), P at (0.3333, 0.6667, 0.5000) and S at (0.0456, 0.3903, 0.3150).